[1]
DFT (PBE) results for a relaxed structure of Er2AgPd6.

Cell and atoms, written as CIF:
```
data_Er2AgPd6
_chemical_formula_sum 'Er4 Ag2 Pd12'
_space_group_name_H-M_alt 'C 1 2/m 1'
_space_group_IT_number 12
_cell_length_a 14.109
_cell_length_b 7.963
_cell_length_c 3.136
_cell_angle_alpha 90.00
_cell_angle_beta 102.84
_cell_angle_gamma 90.00
loop_
_space_group_symop_operation_xyz
'x,y,z'
'-x,-y,-z'
'-x,y,-z'
'x,-y,z'
'x+1/2,y+1/2,z'
'-x+1/2,-y+1/2,-z'
'-x+1/2,y+1/2,-z'
'x+1/2,-y+1/2,z'
loop_
_atom_site_label
_atom_site_type_symbol
_atom_site_fract_x
_atom_site_fract_y
_atom_site_fract_z
Er1 Er 0.163 0.000 0.153
Ag1 Ag 0.000 0.500 0.500
Pd1 Pd 0.000 0.209 0.000
Pd2 Pd 0.166 0.294 0.662
```

Values from the calculation:
Fermi-level density of states ... 3.6 states/eV/f.u.
ΔH_f (0 K) ... -345 kJ/mol of formula units



[2]
DFT (PBE) results for a relaxed structure of Zr2RuN.

Cell and atoms, written as CIF:
```
data_Zr2RuN
_chemical_formula_sum 'Zr8 Ru4 N4'
_space_group_name_H-M_alt 'C 1 2/m 1'
_space_group_IT_number 12
_cell_length_a 11.742
_cell_length_b 3.253
_cell_length_c 6.843
_cell_angle_alpha 90.00
_cell_angle_beta 106.22
_cell_angle_gamma 90.00
loop_
_space_group_symop_operation_xyz
'x,y,z'
'-x,-y,-z'
'-x,y,-z'
'x,-y,z'
'x+1/2,y+1/2,z'
'-x+1/2,-y+1/2,-z'
'-x+1/2,y+1/2,-z'
'x+1/2,-y+1/2,z'
loop_
_atom_site_label
_atom_site_type_symbol
_atom_site_fract_x
_atom_site_fract_y
_atom_site_fract_z
Zr1 Zr 0.144 0.000 0.053
Zr2 Zr 0.149 0.000 0.587
Ru1 Ru 0.027 0.500 0.267
N1 N 0.163 0.500 0.825
```

Values from the calculation:
Fermi-level density of states ... 1.7 states/eV/f.u.
Formation energy (no corrections) ... -0.980 eV per atom



[3]
DFT (PBE) results for a relaxed structure of K3Ba2TcO6.

Cell and atoms, written as CIF:
```
data_K3Ba2TcO6
_chemical_formula_sum 'K6 Ba4 Tc2 O12'
_space_group_name_H-M_alt 'C 1 2/m 1'
_space_group_IT_number 12
_cell_length_a 6.401
_cell_length_b 11.195
_cell_length_c 6.529
_cell_angle_alpha 90.00
_cell_angle_beta 108.95
_cell_angle_gamma 90.00
loop_
_space_group_symop_operation_xyz
'x,y,z'
'-x,-y,-z'
'-x,y,-z'
'x,-y,z'
'x+1/2,y+1/2,z'
'-x+1/2,-y+1/2,-z'
'-x+1/2,y+1/2,-z'
'x+1/2,-y+1/2,z'
loop_
_atom_site_label
_atom_site_type_symbol
_atom_site_fract_x
_atom_site_fract_y
_atom_site_fract_z
K1 K 0.000 0.000 0.000
K2 K 0.000 0.349 0.000
Ba1 Ba 0.000 0.168 0.500
Tc1 Tc 0.000 0.500 0.500
O1 O 0.193 0.371 0.692
O2 O 0.204 0.500 0.314
```

Values from the calculation:
Fermi-level density of states ... 8.4 states/eV/f.u.
Formation energy (no corrections) ... -1.787 eV per atom



[4]
DFT (PBE) results for a relaxed structure of Co2NiH3.

Cell and atoms, written as CIF:
```
data_Co2NiH3
_chemical_formula_sum 'Co4 Ni2 H6'
_space_group_name_H-M_alt 'I 4/m m m'
_space_group_IT_number 139
_space_group_name_Hall '-I 4 2'
_cell_length_a 2.629
_cell_length_b 2.629
_cell_length_c 11.108
_cell_angle_alpha 90.00
_cell_angle_beta 90.00
_cell_angle_gamma 90.00
loop_
_atom_site_label
_atom_site_type_symbol
_atom_site_fract_x
_atom_site_fract_y
_atom_site_fract_z
Co1 Co 0.000 0.000 0.171
Ni1 Ni 0.000 0.000 0.500
H1 H 0.000 0.000 0.000
H2 H 0.000 0.000 0.336
```

Values from the calculation:
Fermi-level density of states ... 3.4 states/eV/f.u.
Total DFT energy (no corrections) ... -5.01 eV per atom



[5]
DFT (PBE) results for a relaxed structure of SrScCr2.

Cell and atoms, written as CIF:
```
data_SrScCr2
_chemical_formula_sum 'Sr1 Sc1 Cr2'
_space_group_name_H-M_alt 'P 4 m m'
_space_group_IT_number 99
_cell_length_a 3.214
_cell_length_b 3.214
_cell_length_c 8.604
_cell_angle_alpha 90.00
_cell_angle_beta 90.00
_cell_angle_gamma 90.00
loop_
_space_group_symop_operation_xyz
'x,y,z'
'-y,x,z'
'-x,-y,z'
'y,-x,z'
'-x,y,z'
'y,x,z'
'x,-y,z'
'-y,-x,z'
loop_
_atom_site_label
_atom_site_type_symbol
_atom_site_fract_x
_atom_site_fract_y
_atom_site_fract_z
Sr1 Sr 0.000 0.000 0.000
Sc1 Sc 0.500 0.500 0.627
Cr1 Cr 0.000 0.000 0.415
Cr2 Cr 0.500 0.500 0.294
```

Values from the calculation:
Fermi-level density of states ... 5.5 states/eV/f.u.
ΔH_f (0 K) ... 181 kJ/mol of formula units



[6]
DFT (PBE) results for a relaxed structure of Ba2AlBr.

Cell and atoms, written as CIF:
```
data_Ba2AlBr
_chemical_formula_sum 'Ba4 Al2 Br2'
_space_group_name_H-M_alt 'C 1 2/m 1'
_space_group_IT_number 12
_cell_length_a 8.697
_cell_length_b 8.696
_cell_length_c 3.820
_cell_angle_alpha 90.00
_cell_angle_beta 90.37
_cell_angle_gamma 90.00
loop_
_space_group_symop_operation_xyz
'x,y,z'
'-x,-y,-z'
'-x,y,-z'
'x,-y,z'
'x+1/2,y+1/2,z'
'-x+1/2,-y+1/2,-z'
'-x+1/2,y+1/2,-z'
'x+1/2,-y+1/2,z'
loop_
_atom_site_label
_atom_site_type_symbol
_atom_site_fract_x
_atom_site_fract_y
_atom_site_fract_z
Ba1 Ba 0.250 0.250 0.000
Al1 Al 0.000 0.000 0.500
Br1 Br 0.000 0.500 0.500
```

Values from the calculation:
Fermi-level density of states ... 2.8 states/eV/f.u.
Formation energy (no corrections) ... -0.744 eV per atom